No. 1
! PBE NiAs, relaxed; values from VASP
&SYSTEM
  ibrav = 0, nat = 4, ntyp = 2
/
ATOMIC_SPECIES
Ni 58.69 Ni.upf
As 74.92 As.upf
CELL_PARAMETERS angstrom
3.528 0.000 0.000
-1.764 3.055 0.000
0.000 0.000 5.688
ATOMIC_POSITIONS angstrom
Ni 0.000 2.037 1.422
Ni 1.764 1.018 4.266
As 0.000 0.000 0.000
As 0.000 0.000 2.844
! - SG = P6_3/mmc, No. 194
! - calculated formation energy (kJ/mol of formula units) = 9.2
! - crystal system = hexagonal



No. 2
! PBE LaPm7Pr2, relaxed; values from VASP
&SYSTEM
  ibrav = 0, nat = 10, ntyp = 3
/
ATOMIC_SPECIES
La 138.91 La.upf
Pm 145.00 Pm.upf
Pr 140.91 Pr.upf
CELL_PARAMETERS angstrom
4.435 -8.320 0.000
4.435 8.320 0.000
0.000 0.000 5.617
ATOMIC_POSITIONS angstrom
La 0.000 0.000 0.000
Pm 1.596 1.900 2.809
Pm 4.435 4.587 0.000
Pm 1.596 -1.900 2.809
Pm 4.435 0.000 2.809
Pm 7.275 1.900 2.809
Pm 4.435 -4.587 0.000
Pm 7.275 -1.900 2.809
Pr 4.435 3.370 2.809
Pr 4.435 -3.370 2.809
! - SG = Cmmm, No. 65
! - calculated formation energy (kJ/mol of formula units) = 594.2
! - crystal system = orthorhombic
! - energy above the lowest structure with this stoichiometry (meV per atom) = 600.7



No. 3
! PBE HfScZnGa, relaxed; values from VASP
&SYSTEM
  ibrav = 0, nat = 4, ntyp = 4
/
ATOMIC_SPECIES
Hf 178.49 Hf.upf
Sc 44.96 Sc.upf
Zn 65.41 Zn.upf
Ga 69.72 Ga.upf
CELL_PARAMETERS angstrom
3.299 0.000 0.000
0.000 3.299 0.000
0.000 0.000 6.758
ATOMIC_POSITIONS angstrom
Hf 0.000 0.000 0.000
Sc 0.000 0.000 3.344
Zn 1.650 1.650 1.677
Ga 1.650 1.650 5.037
! - SG = P4mm, No. 99
! - calculated formation energy (kJ/mol of formula units) = -151.4
! - crystal system = tetragonal
! - energy above the lowest structure with this stoichiometry (meV per atom) = 0.0



No. 4
! PBE ZrSc2Tl2, relaxed; values from VASP
&SYSTEM
  ibrav = 0, nat = 5, ntyp = 3
/
ATOMIC_SPECIES
Zr 91.22 Zr.upf
Sc 44.96 Sc.upf
Tl 204.38 Tl.upf
CELL_PARAMETERS angstrom
-2.121 2.121 6.796
2.121 -2.121 6.796
2.121 2.121 -6.796
ATOMIC_POSITIONS angstrom
Zr 0.000 0.000 0.000
Sc 2.121 0.000 3.398
Sc 0.000 2.121 3.398
Tl 0.000 0.000 5.420
Tl 0.000 0.000 8.171
! - SG = I4/mmm, No. 139
! - calculated formation energy (kJ/mol of formula units) = 51.1
! - crystal system = tetragonal
! - energy above the lowest structure with this stoichiometry (meV per atom) = 224.2



No. 5
! PBE Rb2CuSe3, relaxed; values from VASP
&SYSTEM
  ibrav = 0, nat = 12, ntyp = 3
/
ATOMIC_SPECIES
Rb 85.47 Rb.upf
Cu 63.55 Cu.upf
Se 78.96 Se.upf
CELL_PARAMETERS angstrom
7.016 0.000 0.000
-3.508 6.076 0.000
0.000 0.000 12.095
ATOMIC_POSITIONS angstrom
Rb 0.000 0.000 0.000
Rb 0.000 0.000 6.047
Rb 0.000 4.050 3.030
Rb 3.508 2.025 9.065
Cu 0.000 4.050 8.997
Cu 3.508 2.025 3.098
Se 0.000 1.769 9.069
Se -1.976 5.191 9.069
Se 1.532 0.885 3.026
Se 1.976 5.191 9.069
Se 5.483 0.885 3.026
Se 3.508 4.307 3.026
! - SG = P-3m1, No. 164
! - raw formation energy (eV per atom) = -0.500
! - crystal system = trigonal



No. 6
! PBE SiSbRhI2, relaxed; values from VASP
&SYSTEM
  ibrav = 0, nat = 5, ntyp = 4
/
ATOMIC_SPECIES
Si 28.09 Si.upf
Sb 121.76 Sb.upf
Rh 102.91 Rh.upf
I 126.90 I.upf
CELL_PARAMETERS angstrom
5.342 0.000 0.000
0.000 5.342 0.000
0.000 0.000 5.351
ATOMIC_POSITIONS angstrom
Si 0.000 0.000 0.000
Sb 0.000 0.000 2.675
Rh 2.671 2.671 2.675
I 0.000 2.671 0.000
I 2.671 0.000 0.000
! - SG = P4/mmm, No. 123
! - raw formation energy (eV per atom) = 1.042
! - crystal system = tetragonal
! - energy above the lowest structure with this stoichiometry (meV per atom) = 392.6



No. 7
! PBE SnAuF2, relaxed; values from VASP
&SYSTEM
  ibrav = 0, nat = 4, ntyp = 3
/
ATOMIC_SPECIES
Sn 118.71 Sn.upf
Au 196.97 Au.upf
F 19.00 F.upf
CELL_PARAMETERS angstrom
0.000 3.190 3.190
3.190 0.000 3.190
3.190 3.190 0.000
ATOMIC_POSITIONS angstrom
Sn 0.000 0.000 0.000
Au 3.190 3.190 3.190
F 1.595 1.595 1.595
F 4.784 4.784 4.784
! - SG = Fm-3m, No. 225
! - raw formation energy (eV per atom) = -0.943
! - crystal system = cubic
! - energy above the lowest structure with this stoichiometry (meV per atom) = 148.7



No. 8
! PBE HoLu2N, relaxed; values from VASP
&SYSTEM
  ibrav = 0, nat = 4, ntyp = 3
/
ATOMIC_SPECIES
Ho 164.93 Ho.upf
Lu 174.97 Lu.upf
N 14.01 N.upf
CELL_PARAMETERS angstrom
3.113 0.000 0.000
0.000 3.113 0.000
0.000 0.000 8.507
ATOMIC_POSITIONS angstrom
Ho 0.000 0.000 0.000
Lu 1.557 1.557 2.866
Lu 1.557 1.557 5.641
N 0.000 0.000 4.253
! - SG = P4/mmm, No. 123
! - raw formation energy (eV per atom) = -0.231
! - crystal system = tetragonal
! - energy above the lowest structure with this stoichiometry (meV per atom) = 612.1